# La2Si5Rh3 | Alexandria via LeMat-Bulk | PBE | relaxed
# **E_tot**: -137.39 eV per cell
data_La2Si5Rh3
_symmetry_space_group_name_H-M 'P 1'
_symmetry_Int_Tables_number 1
_cell_length_a 8.3326
_cell_length_b 8.3326
_cell_length_c 8.3326
_cell_angle_alpha 138.52
_cell_angle_beta 105.99
_cell_angle_gamma 88.59
loop_
_symmetry_equiv_pos_as_xyz
'x,y,z'
loop_
_atom_site_label
_atom_site_fract_x
_atom_site_fract_y
_atom_site_fract_z
_atom_site_occupancy
La1 0.6365 0.8693 0.7672 1
La2 0.3635 0.1307 0.2328 1
La3 0.8978 0.6307 0.2672 1
La4 0.1022 0.3693 0.7328 1
Si1 0.0000 0.2500 0.2500 1
Si2 0.0000 0.7500 0.7500 1
Si3 0.2752 0.5252 0.2500 1
Si4 0.7248 0.9748 0.2500 1
Si5 0.7248 0.4748 0.7500 1
Si6 0.2752 0.0252 0.7500 1
Si7 0.4568 0.6077 0.8492 1
Si8 0.7585 0.1077 0.6508 1
Si9 0.2415 0.8923 0.3492 1
Si10 0.5432 0.3923 0.1508 1
Rh1 0.0292 0.1386 0.8906 1
Rh2 0.5000 0.7500 0.2500 1
Rh3 0.2480 0.6386 0.6094 1
Rh4 0.7520 0.3614 0.3906 1
Rh5 0.9708 0.8614 0.1094 1
Rh6 0.5000 0.2500 0.7500 1

# La2CeSn3Rh4 | Alexandria via LeMat-Bulk | PBE | relaxed
# **Calculated formation energy**: -0.787 eV per atom
data_La2CeSn3Rh4
_symmetry_space_group_name_H-M 'P 1'
_symmetry_Int_Tables_number 1
_cell_length_a 4.5631
_cell_length_b 4.5631
_cell_length_c 11.0566
_cell_angle_alpha 90.00
_cell_angle_beta 90.00
_cell_angle_gamma 90.00
loop_
_symmetry_equiv_pos_as_xyz
'x,y,z'
loop_
_atom_site_label
_atom_site_fract_x
_atom_site_fract_y
_atom_site_fract_z
_atom_site_occupancy
La1 0.5000 0.0000 0.2252 1
La2 0.0000 0.5000 0.7748 1
Ce1 0.5000 0.5000 0.5000 1
Sn1 0.0000 0.0000 0.5000 1
Sn2 0.5000 0.0000 0.8733 1
Sn3 0.0000 0.5000 0.1267 1
Rh1 0.5000 0.5000 0.0000 1
Rh2 0.0000 0.0000 0.0000 1
Rh3 0.5000 0.0000 0.6359 1
Rh4 0.0000 0.5000 0.3641 1

# V2Pd2Se | Alexandria via LeMat-Bulk | PBE | relaxed
# **E_tot**: -31.51 eV per cell
data_V2Pd2Se
_symmetry_space_group_name_H-M 'P 1'
_symmetry_Int_Tables_number 1
_cell_length_a 3.4027
_cell_length_b 3.4027
_cell_length_c 7.3613
_cell_angle_alpha 76.64
_cell_angle_beta 76.64
_cell_angle_gamma 90.00
loop_
_symmetry_equiv_pos_as_xyz
'x,y,z'
loop_
_atom_site_label
_atom_site_fract_x
_atom_site_fract_y
_atom_site_fract_z
_atom_site_occupancy
Pd1 0.3975 0.3975 0.2050 1
Pd2 0.6025 0.6025 0.7950 1
Se1 0.0000 0.0000 0.0000 1
V1 0.7500 0.2500 0.5000 1
V2 0.2500 0.7500 0.5000 1

# TcMo3 | Alexandria via LeMat-Bulk | PBE | relaxed
# **Calculated formation energy**: 0.313 eV per atom
data_TcMo3
_symmetry_space_group_name_H-M 'P 1'
_symmetry_Int_Tables_number 1
_cell_length_a 2.7847
_cell_length_b 2.7847
_cell_length_c 9.3614
_cell_angle_alpha 90.00
_cell_angle_beta 90.00
_cell_angle_gamma 120.00
loop_
_symmetry_equiv_pos_as_xyz
'x,y,z'
loop_
_atom_site_label
_atom_site_fract_x
_atom_site_fract_y
_atom_site_fract_z
_atom_site_occupancy
Mo1 0.0000 0.0000 0.9897 1
Mo2 0.0000 0.0000 0.5103 1
Mo3 0.3333 0.6667 0.2500 1
Tc1 0.3333 0.6667 0.7500 1

# NaErBr4 | Alexandria via LeMat-Bulk | PBE | relaxed
# **E_tot**: -45.92 eV per cell
data_NaErBr4
_symmetry_space_group_name_H-M 'P 1'
_symmetry_Int_Tables_number 1
_cell_length_a 7.0760
_cell_length_b 7.3890
_cell_length_c 9.7767
_cell_angle_alpha 106.04
_cell_angle_beta 104.82
_cell_angle_gamma 106.30
loop_
_symmetry_equiv_pos_as_xyz
'x,y,z'
loop_
_atom_site_label
_atom_site_fract_x
_atom_site_fract_y
_atom_site_fract_z
_atom_site_occupancy
Na1 0.3404 0.5904 0.1808 1
Na2 0.6596 0.4096 0.8192 1
Er1 0.8273 0.0773 0.1547 1
Er2 0.1727 0.9227 0.8453 1
Br1 0.2956 0.0501 0.6426 1
Br2 0.0451 0.8156 0.0881 1
Br3 0.1530 0.4075 0.3574 1
Br4 0.4571 0.7275 0.9119 1
Br5 0.7044 0.9499 0.3574 1
Br6 0.8470 0.5925 0.6426 1
Br7 0.9549 0.1844 0.9119 1
Br8 0.5429 0.2725 0.0881 1

# AcLuCoRh | Alexandria via LeMat-Bulk | PBE | relaxed
# **Calculated formation energy**: -0.282 eV per atom
data_AcLuCoRh
_symmetry_space_group_name_H-M 'P 1'
_symmetry_Int_Tables_number 1
_cell_length_a 4.9628
_cell_length_b 4.9628
_cell_length_c 4.9628
_cell_angle_alpha 60.00
_cell_angle_beta 60.00
_cell_angle_gamma 60.00
loop_
_symmetry_equiv_pos_as_xyz
'x,y,z'
loop_
_atom_site_label
_atom_site_fract_x
_atom_site_fract_y
_atom_site_fract_z
_atom_site_occupancy
Co1 0.2500 0.2500 0.2500 1
Ac1 0.0000 0.0000 0.0000 1
Lu1 0.5000 0.5000 0.5000 1
Rh1 0.7500 0.7500 0.7500 1

# Ac2Zn2Pd15 | Alexandria via LeMat-Bulk | PBE | relaxed
# **Calculated formation energy**: -0.427 eV per atom
data_Ac2Zn2Pd15
_symmetry_space_group_name_H-M 'P 1'
_symmetry_Int_Tables_number 1
_cell_length_a 7.0449
_cell_length_b 7.0449
_cell_length_c 7.0449
_cell_angle_alpha 81.83
_cell_angle_beta 81.83
_cell_angle_gamma 81.83
loop_
_symmetry_equiv_pos_as_xyz
'x,y,z'
loop_
_atom_site_label
_atom_site_fract_x
_atom_site_fract_y
_atom_site_fract_z
_atom_site_occupancy
Ac1 0.3424 0.3424 0.3424 1
Ac2 0.6576 0.6576 0.6576 1
Zn1 0.0931 0.0931 0.0931 1
Zn2 0.9069 0.9069 0.9069 1
Pd1 0.5000 0.0000 0.0000 1
Pd2 0.0000 0.0000 0.5000 1
Pd3 0.0000 0.5000 0.0000 1
Pd4 0.0000 0.7037 0.2963 1
Pd5 0.7037 0.2963 0.0000 1
Pd6 0.2963 0.0000 0.7037 1
Pd7 0.2963 0.7037 0.0000 1
Pd8 0.7037 0.0000 0.2963 1
Pd9 0.0000 0.2963 0.7037 1
Pd10 0.1516 0.6539 0.6539 1
Pd11 0.6539 0.6539 0.1516 1
Pd12 0.6539 0.1516 0.6539 1
Pd13 0.8484 0.3461 0.3461 1
Pd14 0.3461 0.3461 0.8484 1
Pd15 0.3461 0.8484 0.3461 1

# CaZrOs2 | Alexandria via LeMat-Bulk | PBE | relaxed
# **Calculated formation energy**: 0.237 eV per atom
data_CaZrOs2
_symmetry_space_group_name_H-M 'P 1'
_symmetry_Int_Tables_number 1
_cell_length_a 3.3176
_cell_length_b 4.7059
_cell_length_c 4.7059
_cell_angle_alpha 90.00
_cell_angle_beta 90.00
_cell_angle_gamma 90.00
loop_
_symmetry_equiv_pos_as_xyz
'x,y,z'
loop_
_atom_site_label
_atom_site_fract_x
_atom_site_fract_y
_atom_site_fract_z
_atom_site_occupancy
Ca1 0.5000 0.0000 0.5000 1
Os1 0.0000 0.0000 0.0000 1
Os2 0.0000 0.5000 0.5000 1
Zr1 0.5000 0.5000 0.0000 1

# AcLa7Nd12 | Alexandria via LeMat-Bulk | PBE | relaxed
# **Calculated formation energy**: 0.528 eV per atom
data_AcLa7Nd12
_symmetry_space_group_name_H-M 'P 1'
_symmetry_Int_Tables_number 1
_cell_length_a 10.0671
_cell_length_b 10.0671
_cell_length_c 10.0671
_cell_angle_alpha 109.47
_cell_angle_beta 109.47
_cell_angle_gamma 109.47
loop_
_symmetry_equiv_pos_as_xyz
'x,y,z'
loop_
_atom_site_label
_atom_site_fract_x
_atom_site_fract_y
_atom_site_fract_z
_atom_site_occupancy
Ac1 0.0000 0.0000 0.0000 1
La1 0.5000 0.5000 0.0000 1
La2 0.0000 0.5000 0.5000 1
La3 0.5000 0.0000 0.5000 1
La4 0.5000 0.5000 0.5000 1
La5 0.0000 0.0000 0.5000 1
La6 0.5000 0.0000 0.0000 1
La7 0.0000 0.5000 0.0000 1
Nd1 0.4960 0.7247 0.7713 1
Nd2 0.9534 0.7247 0.2287 1
Nd3 0.5040 0.2753 0.2287 1
Nd4 0.0466 0.2753 0.7713 1
Nd5 0.7713 0.0466 0.2753 1
Nd6 0.7713 0.4960 0.7247 1
Nd7 0.2287 0.9534 0.7247 1
Nd8 0.2287 0.5040 0.2753 1
Nd9 0.7247 0.7713 0.4960 1
Nd10 0.2753 0.2287 0.5040 1
Nd11 0.7247 0.2287 0.9534 1
Nd12 0.2753 0.7713 0.0466 1

# YMgSc2Hg4 | Alexandria via LeMat-Bulk | PBE | relaxed
# **Calculated formation energy**: -0.410 eV per atom
data_YMgSc2Hg4
_symmetry_space_group_name_H-M 'P 1'
_symmetry_Int_Tables_number 1
_cell_length_a 5.0064
_cell_length_b 5.0064
_cell_length_c 8.8365
_cell_angle_alpha 73.54
_cell_angle_beta 73.54
_cell_angle_gamma 60.00
loop_
_symmetry_equiv_pos_as_xyz
'x,y,z'
loop_
_atom_site_label
_atom_site_fract_x
_atom_site_fract_y
_atom_site_fract_z
_atom_site_occupancy
Y1 0.0000 0.0000 0.0000 1
Mg1 0.5000 0.5000 0.5000 1
Sc1 0.7543 0.7543 0.7372 1
Sc2 0.2457 0.2457 0.2628 1
Hg1 0.3785 0.3785 0.8645 1
Hg2 0.8742 0.8742 0.3773 1
Hg3 0.1258 0.1258 0.6227 1
Hg4 0.6215 0.6215 0.1355 1

# Sm3Ni5H12 | Alexandria via LeMat-Bulk | PBE | relaxed
# **E_tot**: -353.65 eV per cell
data_Sm3Ni5H12
_symmetry_space_group_name_H-M 'P 1'
_symmetry_Int_Tables_number 1
_cell_length_a 9.8869
_cell_length_b 9.8869
_cell_length_c 9.8869
_cell_angle_alpha 109.47
_cell_angle_beta 109.47
_cell_angle_gamma 109.47
loop_
_symmetry_equiv_pos_as_xyz
'x,y,z'
loop_
_atom_site_label
_atom_site_fract_x
_atom_site_fract_y
_atom_site_fract_z
_atom_site_occupancy
Sm1 0.7500 0.3750 0.1250 1
Sm2 0.8750 0.7500 0.1250 1
Sm3 0.3750 0.7500 0.6250 1
Sm4 0.2500 0.1250 0.3750 1
Sm5 0.8750 0.1250 0.2500 1
Sm6 0.3750 0.6250 0.2500 1
Sm7 0.6250 0.3750 0.7500 1
Sm8 0.1250 0.8750 0.7500 1
Sm9 0.7500 0.8750 0.6250 1
Sm10 0.6250 0.2500 0.3750 1
Sm11 0.1250 0.2500 0.8750 1
Sm12 0.2500 0.6250 0.8750 1
Ni1 0.1250 0.3750 0.2500 1
Ni2 0.0000 0.5000 0.0000 1
Ni3 0.0000 0.0000 0.0000 1
Ni4 0.3750 0.2500 0.1250 1
Ni5 0.5000 0.0000 0.5000 1
Ni6 0.5000 0.5000 0.0000 1
Ni7 0.1250 0.7500 0.3750 1
Ni8 0.7500 0.1250 0.8750 1
Ni9 0.7500 0.6250 0.3750 1
Ni10 0.3750 0.1250 0.7500 1
Ni11 0.6250 0.8750 0.2500 1
Ni12 0.5000 0.5000 0.5000 1
Ni13 0.5000 0.0000 0.0000 1
Ni14 0.0000 0.0000 0.5000 1
Ni15 0.2500 0.3750 0.6250 1
Ni16 0.2500 0.8750 0.1250 1
Ni17 0.0000 0.5000 0.5000 1
Ni18 0.8750 0.2500 0.6250 1
Ni19 0.6250 0.7500 0.8750 1
Ni20 0.8750 0.6250 0.7500 1
H1 0.6822 0.0995 0.0035 1
H2 0.3213 0.5035 0.4041 1
H3 0.9965 0.4005 0.3178 1
H4 0.5035 0.1822 0.0995 1
H5 0.5828 0.6822 0.6787 1
H6 0.9965 0.5959 0.1787 1
H7 0.3213 0.8178 0.4172 1
H8 0.0959 0.9172 0.0995 1
H9 0.5959 0.9965 0.6787 1
H10 0.6822 0.5828 0.1787 1
H11 0.8178 0.4965 0.4005 1
H12 0.8213 0.9041 0.0035 1
H13 0.0995 0.6822 0.5035 1
H14 0.4005 0.4041 0.0828 1
H15 0.0828 0.9041 0.4005 1
H16 0.4172 0.0995 0.5959 1
H17 0.0828 0.1787 0.1822 1
H18 0.4965 0.6787 0.0959 1
H19 0.8213 0.9172 0.3178 1
H20 0.0995 0.4172 0.0959 1
H21 0.4005 0.9965 0.8178 1
H22 0.5959 0.5995 0.4172 1
H23 0.9041 0.8213 0.5035 1
H24 0.8178 0.3213 0.9172 1
H25 0.4041 0.4005 0.5828 1
H26 0.0959 0.1787 0.4965 1
H27 0.1822 0.6787 0.0828 1
H28 0.1787 0.0828 0.6822 1
H29 0.5995 0.0035 0.1822 1
H30 0.9005 0.5828 0.9041 1
H31 0.5035 0.3213 0.9041 1
H32 0.5828 0.9005 0.4041 1
H33 0.9172 0.8213 0.8178 1
H34 0.9172 0.0959 0.5995 1
H35 0.9005 0.3178 0.4965 1
H36 0.1787 0.0959 0.9965 1
H37 0.5995 0.5959 0.9172 1
H38 0.4041 0.0035 0.3213 1
H39 0.3178 0.4172 0.8213 1
H40 0.1822 0.5035 0.5995 1
H41 0.9041 0.0828 0.9005 1
H42 0.6787 0.1822 0.5828 1
H43 0.4965 0.8178 0.9005 1
H44 0.0035 0.4041 0.8213 1
H45 0.4172 0.3178 0.3213 1
H46 0.0035 0.5995 0.6822 1
H47 0.6787 0.4965 0.5959 1
H48 0.3178 0.9005 0.9965 1

# ReSe3Cl | Alexandria via LeMat-Bulk | PBE | relaxed
# **E_tot**: -22.87 eV per cell
data_ReSe3Cl
_symmetry_space_group_name_H-M 'P 1'
_symmetry_Int_Tables_number 1
_cell_length_a 4.8800
_cell_length_b 4.8800
_cell_length_c 4.8800
_cell_angle_alpha 90.00
_cell_angle_beta 90.00
_cell_angle_gamma 90.00
loop_
_symmetry_equiv_pos_as_xyz
'x,y,z'
loop_
_atom_site_label
_atom_site_fract_x
_atom_site_fract_y
_atom_site_fract_z
_atom_site_occupancy
Re1 0.0000 0.0000 0.0000 1
Se1 0.0000 0.5000 0.0000 1
Se2 0.0000 0.0000 0.5000 1
Se3 0.5000 0.0000 0.0000 1
Cl1 0.5000 0.5000 0.5000 1

| no. | Fermi-level density of states (states/eV/f.u.) |
| --- | --- |
| 1 | 5.6 |
| 2 | 6.2 |
| 3 | 3.4 |
| 4 | 5.4 |
| 5 | 0.0 |
| 6 | 3.1 |
| 7 | 18.1 |
| 8 | 5.6 |
| 9 | 34.9 |
| 10 | 5.2 |
| 11 | 7.2 |
| 12 | 4.0 |